An optimized crystal structure of Tb5Pr6Nd, computed with PBE.

a b c (Å): 5.1756 10.2655 9.6464
angles (deg): 122.14 105.54 90.01
With the nearest neighbours (Å) after each atom.
Sites, in units of the cell vectors:
Tb 0.6668 0.6668 0.3336  8 Pr 3.63-3.64, 4 Tb 3.65-3.66
Tb 0.6674 0.1674 0.3347  8 Pr 3.62-3.66, 2 Tb 3.65, 2 Nd 3.66
Tb 0.0000 0.5000 0.0000  8 Pr 3.63-3.64, 4 Tb 3.66
Tb 0.3332 0.3332 0.6664  8 Pr 3.63-3.64, 4 Tb 3.65-3.66
Tb 0.3326 0.8326 0.6653  8 Pr 3.62-3.66, 2 Tb 3.65, 2 Nd 3.66
Pr 0.4999 0.2517 0.0000  6 Tb 3.63-3.66, 2 Nd 3.66, 4 Pr 3.66
Pr 0.1669 0.4179 0.3338  7 Tb 3.62-3.65, 1 Nd 3.65, 4 Pr 3.65-3.66
Pr 0.8331 0.5821 0.6662  7 Tb 3.62-3.65, 1 Nd 3.65, 4 Pr 3.65-3.66
Pr 0.1669 0.9159 0.3338  7 Tb 3.62-3.65, 1 Nd 3.65, 4 Pr 3.65-3.66
Pr 0.8331 0.0841 0.6662  7 Tb 3.62-3.65, 1 Nd 3.65, 4 Pr 3.65-3.66
Pr 0.5001 0.7483 0.0000  6 Tb 3.63-3.66, 2 Nd 3.66, 4 Pr 3.66
Nd 0.0000 0.0000 0.0000  8 Pr 3.65-3.66, 4 Tb 3.66

Values from the calculation:
The value obtained for the magnetic moment is 0.000 μB/atom. For the calculated density, the calculation gives 7.20 g cm⁻³. Its formation energy is 0.014 eV/atom.